4
Lattice="1.673 0.966 8.436 -1.673 0.966 8.436 0.000 -1.932 8.436" Properties=species:S:1:pos:R:3 comment="PuSiP2, optimized geometry, DFT PBE" raw_formation_energy_ev_per_fu=0.46 total_magnetization_mub_per_fu=6.2 energy_ev_per_atom=-7.5278 de_polymorph_ev_per_atom=0.559 n_ef_per_ev_cell=7.25 pbc="T T T"
Pu 0.000 0.000 0.000
Si 0.000 0.000 12.653
P 0.000 0.000 2.812
P 0.000 0.000 22.494